#P
An optimized crystal structure of Ac2La7Sm, computed with GGA-PBE.

Summary:
- volume (A^3/atom) = 40.590
- ρ (Mg/m³) = 6.5

Unit cell a=10.865 b=10.865 c=3.644 alpha=90.00 beta=90.00 gamma=109.33
Atoms (fractional coordinates):
1 Ac 0.173 0.827 0.000
2 Ac 0.827 0.173 0.000
3 La 0.137 0.384 0.000
4 La 0.335 0.665 0.500
5 La 0.384 0.137 0.000
6 La 0.500 0.500 0.000
7 La 0.616 0.863 0.000
8 La 0.665 0.335 0.500
9 La 0.863 0.616 0.000
10 Sm 0.000 0.000 0.500


#Q
An optimized crystal structure of Ac2La7Sm, computed with GGA-PBE.

Summary:
- volume (A^3/atom) = 38.538
- ρ (Mg/m³) = 6.8

Unit cell a=15.574 b=15.574 c=3.643 alpha=90.00 beta=90.00 gamma=154.14
Atoms (fractional coordinates):
1 Ac 0.206 0.794 0.000
2 Ac 0.794 0.206 0.000
3 La 0.000 0.000 0.000
4 La 0.163 0.355 0.000
5 La 0.315 0.685 0.500
6 La 0.355 0.163 0.000
7 La 0.645 0.837 0.000
8 La 0.685 0.315 0.500
9 La 0.837 0.645 0.000
10 Sm 0.500 0.500 0.500


It comes down to #Q, which is 23.4 kJ/mol of atoms more stable than the next structure.


#P
An optimized crystal structure of Ac3La8Sm2, computed with GGA-PBE.

Summary:
- volume (A^3/atom) = 38.353
- ρ (Mg/m³) = 7.0

Unit cell a=9.497 b=9.497 c=6.070 alpha=105.76 beta=105.76 gamma=75.93
Atoms (fractional coordinates):
1 Ac 0.000 0.000 0.000
2 Ac 0.246 0.754 0.500
3 Ac 0.754 0.246 0.500
4 La 0.051 0.586 0.822
5 La 0.171 0.171 0.594
6 La 0.414 0.949 0.178
7 La 0.425 0.425 0.761
8 La 0.575 0.575 0.239
9 La 0.586 0.051 0.822
10 La 0.829 0.829 0.406
11 La 0.949 0.414 0.178
12 Sm 0.324 0.324 0.172
13 Sm 0.676 0.676 0.828


#Q
An optimized crystal structure of Ac3La8Sm2, computed with GGA-PBE.

Summary:
- volume (A^3/atom) = 39.619
- ρ (Mg/m³) = 6.7

Unit cell a=11.427 b=11.427 c=5.974 alpha=90.05 beta=90.05 gamma=41.32
Atoms (fractional coordinates):
1 Ac 0.000 0.000 0.000
2 Ac 0.282 0.718 0.500
3 Ac 0.718 0.282 0.500
4 La 0.137 0.137 0.499
5 La 0.191 0.584 0.000
6 La 0.320 0.320 0.499
7 La 0.416 0.809 0.000
8 La 0.584 0.191 0.000
9 La 0.680 0.680 0.501
10 La 0.809 0.416 0.000
11 La 0.863 0.863 0.501
12 Sm 0.240 0.240 0.998
13 Sm 0.760 0.760 0.002


It comes down to #P, which is 8.7 kJ/mol of atoms more stable than the next structure.


#P
An optimized crystal structure of AcLa6Sm3, computed with GGA-PBE.

Summary:
- volume (A^3/atom) = 37.736
- ρ (Mg/m³) = 6.7

Unit cell a=7.226 b=7.226 c=7.226 alpha=90.13 beta=90.13 gamma=90.13
Atoms (fractional coordinates):
1 Ac 0.000 0.000 0.000
2 La 0.000 0.338 0.667
3 La 0.178 0.826 0.500
4 La 0.338 0.667 0.000
5 La 0.500 0.178 0.826
6 La 0.667 0.000 0.338
7 La 0.826 0.500 0.178
8 Sm 0.260 0.260 0.260
9 Sm 0.500 0.500 0.500
10 Sm 0.742 0.742 0.742


#Q
An optimized crystal structure of AcLa6Sm3, computed with GGA-PBE.

Summary:
- volume (A^3/atom) = 37.350
- ρ (Mg/m³) = 6.7

Unit cell a=10.652 b=10.652 c=6.669 alpha=90.00 beta=90.00 gamma=99.20
Atoms (fractional coordinates):
1 Ac 0.158 0.842 0.500
2 Ac 0.842 0.158 0.000
3 La 0.044 0.451 0.338
4 La 0.064 0.936 0.958
5 La 0.257 0.743 0.039
6 La 0.306 0.455 0.997
7 La 0.451 0.044 0.838
8 La 0.455 0.306 0.497
9 La 0.545 0.694 0.997
10 La 0.549 0.956 0.338
11 La 0.694 0.545 0.497
12 La 0.743 0.257 0.539
13 La 0.936 0.064 0.458
14 La 0.956 0.549 0.838
15 Sm 0.156 0.236 0.703
16 Sm 0.236 0.156 0.203
17 Sm 0.381 0.619 0.505
18 Sm 0.619 0.381 0.005
19 Sm 0.764 0.844 0.703
20 Sm 0.844 0.764 0.203


It comes down to #Q, which is 3.9 kJ/mol of atoms more stable than the next structure.


#P
An optimized crystal structure of Ac3La4Sm, computed with GGA-PBE.

Summary:
- volume (A^3/atom) = 39.822
- ρ (Mg/m³) = 7.2

Unit cell a=12.340 b=7.769 c=6.646 alpha=90.00 beta=90.00 gamma=90.00
Atoms (fractional coordinates):
1 Ac 0.000 0.130 0.000
2 Ac 0.248 0.135 0.355
3 Ac 0.252 0.865 0.855
4 Ac 0.500 0.870 0.500
5 Ac 0.748 0.865 0.855
6 Ac 0.752 0.135 0.355
7 La 0.000 0.395 0.525
8 La 0.000 0.617 0.025
9 La 0.246 0.622 0.343
10 La 0.254 0.378 0.843
11 La 0.500 0.383 0.525
12 La 0.500 0.605 0.025
13 La 0.746 0.378 0.843
14 La 0.754 0.622 0.343
15 Sm 0.000 0.870 0.505
16 Sm 0.500 0.130 0.005


#Q
An optimized crystal structure of Ac3La4Sm, computed with GGA-PBE.

Summary:
- volume (A^3/atom) = 39.355
- ρ (Mg/m³) = 7.3

Unit cell a=6.605 b=6.605 c=10.824 alpha=114.23 beta=114.23 gamma=48.28
Atoms (fractional coordinates):
1 Ac 0.000 0.000 0.000
2 Ac 0.498 0.498 0.256
3 Ac 0.502 0.502 0.744
4 La 0.249 0.249 0.378
5 La 0.250 0.250 0.871
6 La 0.750 0.750 0.129
7 La 0.751 0.751 0.622
8 Sm 0.000 0.000 0.500


It comes down to #Q, which is 1.4 kJ/mol of atoms more stable than the next structure.


#P
An optimized crystal structure of Ac12La5Sm2, computed with GGA-PBE.

Summary:
- volume (A^3/atom) = 42.357
- ρ (Mg/m³) = 7.7

Unit cell a=10.635 b=10.635 c=11.014 alpha=105.89 beta=105.89 gamma=42.52
Atoms (fractional coordinates):
1 Ac 0.002 0.002 0.178
2 Ac 0.087 0.586 0.962
3 Ac 0.099 0.583 0.609
4 Ac 0.414 0.913 0.038
5 Ac 0.417 0.901 0.391
6 Ac 0.467 0.467 0.267
7 Ac 0.533 0.533 0.733
8 Ac 0.583 0.099 0.609
9 Ac 0.586 0.087 0.962
10 Ac 0.901 0.417 0.391
11 Ac 0.913 0.414 0.038
12 Ac 0.998 0.998 0.822
13 La 0.169 0.169 0.719
14 La 0.299 0.299 0.284
15 La 0.500 0.500 0.000
16 La 0.701 0.701 0.716
17 La 0.831 0.831 0.281
18 Sm 0.202 0.798 0.500
19 Sm 0.798 0.202 0.500


#Q
An optimized crystal structure of Ac12La5Sm2, computed with GGA-PBE.

Summary:
- volume (A^3/atom) = 42.099
- ρ (Mg/m³) = 7.7

Unit cell a=11.541 b=11.541 c=6.739 alpha=101.09 beta=101.09 gamma=66.30
Atoms (fractional coordinates):
1 Ac 0.044 0.564 0.796
2 Ac 0.058 0.058 0.273
3 Ac 0.146 0.650 0.371
4 Ac 0.350 0.854 0.629
5 Ac 0.389 0.389 0.995
6 Ac 0.436 0.956 0.204
7 Ac 0.564 0.044 0.796
8 Ac 0.611 0.611 0.005
9 Ac 0.650 0.146 0.371
10 Ac 0.854 0.350 0.629
11 Ac 0.942 0.942 0.727
12 Ac 0.956 0.436 0.204
13 La 0.185 0.185 0.858
14 La 0.290 0.290 0.442
15 La 0.500 0.500 0.500
16 La 0.710 0.710 0.558
17 La 0.815 0.815 0.142
18 Sm 0.263 0.737 0.000
19 Sm 0.737 0.263 0.000


It comes down to #Q, which is 6.8 kJ/mol of atoms more stable than the next structure.


#P
An optimized crystal structure of AcLa4Sm7, computed with GGA-PBE.

Summary:
- volume (A^3/atom) = 37.229
- ρ (Mg/m³) = 6.8

Unit cell a=6.962 b=6.962 c=12.991 alpha=114.66 beta=114.66 gamma=53.35
Atoms (fractional coordinates):
1 Ac 0.000 0.000 0.000
2 La 0.144 0.144 0.776
3 La 0.434 0.434 0.675
4 La 0.566 0.566 0.325
5 La 0.856 0.856 0.224
6 Sm 0.132 0.132 0.500
7 Sm 0.270 0.270 0.330
8 Sm 0.295 0.295 0.078
9 Sm 0.500 0.500 0.000
10 Sm 0.705 0.705 0.922
11 Sm 0.730 0.730 0.670
12 Sm 0.868 0.868 0.500


#Q
An optimized crystal structure of AcLa4Sm7, computed with GGA-PBE.

Summary:
- volume (A^3/atom) = 35.974
- ρ (Mg/m³) = 7.1

Unit cell a=6.458 b=7.451 c=9.226 alpha=90.08 beta=103.47 gamma=90.02
Atoms (fractional coordinates):
1 Ac 0.000 0.000 0.000
2 La 0.222 0.499 0.669
3 La 0.280 0.749 0.335
4 La 0.720 0.251 0.665
5 La 0.778 0.501 0.331
6 Sm 0.000 0.500 0.000
7 Sm 0.225 0.000 0.667
8 Sm 0.277 0.251 0.332
9 Sm 0.500 0.252 0.001
10 Sm 0.500 0.748 0.999
11 Sm 0.723 0.749 0.668
12 Sm 0.775 0.000 0.333


It comes down to #Q, which is 21.4 kJ/mol of atoms more stable than the next structure.


#P
An optimized crystal structure of AcLa6Sm2, computed with GGA-PBE.

Summary:
- volume (A^3/atom) = 37.070
- ρ (Mg/m³) = 6.8

Unit cell a=10.371 b=10.371 c=3.755 alpha=90.00 beta=90.00 gamma=124.30
Atoms (fractional coordinates):
1 Ac 0.000 0.000 0.000
2 La 0.163 0.491 0.000
3 La 0.329 0.329 0.500
4 La 0.491 0.163 0.000
5 La 0.509 0.837 0.000
6 La 0.671 0.671 0.500
7 La 0.837 0.509 0.000
8 Sm 0.184 0.816 0.500
9 Sm 0.816 0.184 0.500


#Q
An optimized crystal structure of AcLa6Sm2, computed with GGA-PBE.

Summary:
- volume (A^3/atom) = 37.413
- ρ (Mg/m³) = 6.7

Unit cell a=10.263 b=10.263 c=3.692 alpha=90.00 beta=90.00 gamma=120.00
Atoms (fractional coordinates):
1 Ac 0.000 0.000 0.000
2 La 0.000 0.359 0.000
3 La 0.000 0.680 0.500
4 La 0.320 0.320 0.500
5 La 0.359 0.000 0.000
6 La 0.641 0.641 0.000
7 La 0.680 0.000 0.500
8 Sm 0.333 0.667 0.500
9 Sm 0.667 0.333 0.500


It comes down to #Q, which is 6.6 kJ/mol of atoms more stable than the next structure.


#P
An optimized crystal structure of Ac2La3Sm, computed with GGA-PBE.

Summary:
- volume (A^3/atom) = 38.913
- ρ (Mg/m³) = 7.3

Unit cell a=8.500 b=8.500 c=11.987 alpha=114.99 beta=114.99 gamma=37.04
Atoms (fractional coordinates):
1 Ac 0.037 0.037 0.369
2 Ac 0.291 0.291 0.630
3 Ac 0.709 0.709 0.370
4 Ac 0.963 0.963 0.631
5 La 0.125 0.125 0.121
6 La 0.209 0.209 0.880
7 La 0.454 0.454 0.119
8 La 0.546 0.546 0.881
9 La 0.791 0.791 0.120
10 La 0.875 0.875 0.879
11 Sm 0.375 0.375 0.372
12 Sm 0.625 0.625 0.628


#Q
An optimized crystal structure of Ac2La3Sm, computed with GGA-PBE.

Summary:
- volume (A^3/atom) = 39.854
- ρ (Mg/m³) = 7.1

Unit cell a=6.959 b=18.811 c=3.653 alpha=90.00 beta=90.00 gamma=90.00
Atoms (fractional coordinates):
1 Ac 0.228 0.186 0.000
2 Ac 0.272 0.686 0.500
3 Ac 0.728 0.314 0.500
4 Ac 0.772 0.814 0.000
5 La 0.000 0.500 0.000
6 La 0.222 0.361 0.500
7 La 0.278 0.861 0.000
8 La 0.500 0.000 0.500
9 La 0.722 0.139 0.000
10 La 0.778 0.639 0.500
11 Sm 0.000 0.000 0.000
12 Sm 0.500 0.500 0.500


It comes down to #P, which is 19.9 kJ/mol of atoms more stable than the next structure.